Entry 1:
A plane-wave DFT calculation with PBE-GGA was carried out for crystalline Nb2CdB at its relaxed geometry.

V   134 Å³ per cell
Crystal system   hexagonal
Space group   P6_3/mmc, No. 194
Raw total energy   -57.3 eV per cell
Size of the total moment   0.0 μB per formula unit

```
Nb2CdB
1.0
3.2248 0.0000 0.0000
-1.6124 2.7928 0.0000
0.0000 0.0000 14.9030
Nb Cd B
4 2 2
Cartesian
0.0000 1.8619 1.2409
0.0000 1.8619 6.2106
1.6124 0.9309 8.6924
1.6124 0.9309 13.6621
0.0000 1.8619 11.1773
1.6124 0.9309 3.7258
0.0000 0.0000 0.0000
0.0000 0.0000 7.4515
```

***

Entry 2:
A plane-wave DFT calculation with PBE-GGA was carried out for crystalline MgBeGaCu at its relaxed geometry.

V   55 Å³ per cell
Crystal system   cubic
Space group   F-43m, No. 216
Raw total energy   -11.4 eV per cell

```
MgBeGaCu
1.0
0.0000 3.0154 3.0154
3.0154 0.0000 3.0154
3.0154 3.0154 0.0000
Mg Be Ga Cu
1 1 1 1
Cartesian
0.0000 0.0000 0.0000
4.5231 4.5231 4.5231
1.5077 1.5077 1.5077
3.0154 3.0154 3.0154
```

***

Entry 3:
A plane-wave DFT calculation with PBE-GGA was carried out for crystalline FeCuTcAs at its relaxed geometry.

V   53 Å³ per cell
Crystal system   cubic
Space group   F-43m, No. 216
Raw total energy   -26.3 eV per cell
Size of the total moment   2.7 μB per formula unit

```
FeCuTcAs
1.0
0.0000 2.9906 2.9906
2.9906 0.0000 2.9906
2.9906 2.9906 0.0000
Fe Cu Tc As
1 1 1 1
Cartesian
0.0000 0.0000 0.0000
4.4860 4.4860 4.4860
1.4953 1.4953 1.4953
2.9906 2.9906 2.9906
```

***

Entry 4:
A plane-wave DFT calculation with PBE-GGA was carried out for crystalline KLuAlAu at its relaxed geometry.

V   87 Å³ per cell
Crystal system   cubic
Space group   F-43m, No. 216
Raw total energy   -12.7 eV per cell
Size of the total moment   0.0 μB per formula unit

```
KLuAlAu
1.0
0.0000 3.5229 3.5229
3.5229 0.0000 3.5229
3.5229 3.5229 0.0000
K Lu Al Au
1 1 1 1
Cartesian
0.0000 0.0000 0.0000
5.2844 5.2844 5.2844
1.7615 1.7615 1.7615
3.5229 3.5229 3.5229
```

***

Entry 5:
A plane-wave DFT calculation with PBE-GGA was carried out for crystalline PrHoGa2I2 at its relaxed geometry.

V   193 Å³ per cell
Crystal system   trigonal
Space group   P3m1, No. 156
Raw total energy   -24.8 eV per cell
Size of the total moment   0.0 μB per formula unit

```
PrHoGa2I2
1.0
4.2478 0.0000 0.0000
-2.1239 3.6787 0.0000
0.0000 0.0000 12.3409
Pr Ho Ga I
1 1 2 2
Cartesian
0.0000 0.0000 0.0000
0.0000 0.0000 4.1087
0.0000 2.4524 2.4571
2.1239 1.2262 1.8041
0.0000 2.4524 10.2287
2.1239 1.2262 6.0638
```

***

Entry 6:
A plane-wave DFT calculation with PBE-GGA was carried out for crystalline Ag3Bi11 at its relaxed geometry.

V   445 Å³ per cell
Crystal system   monoclinic
Space group   Cm, No. 8
Raw total energy   -51.1 eV per cell

```
Ag3Bi11
1.0
7.6843 -4.6030 0.0000
7.6843 4.6030 0.0000
-3.0937 0.0000 6.2904
Ag Bi
3 11
Cartesian
0.0000 0.0000 0.0000
3.6451 0.0000 3.9696
8.6070 0.0000 1.8661
6.7047 2.6391 2.0888
2.7318 0.0000 1.2229
5.4519 2.0238 5.0484
5.8649 0.0000 0.5094
9.3735 2.3438 3.8141
11.2472 1.6102 0.3335
5.4519 -2.0238 5.0484
6.7047 -2.6391 2.0888
11.4401 0.0000 3.4522
11.2472 -1.6102 0.3335
9.3735 -2.3438 3.8141
```

***

Entry 7:
A plane-wave DFT calculation with PBE-GGA was carried out for crystalline DyB2 at its relaxed geometry.

V   70 Å³ per cell
Crystal system   cubic
Space group   Fd-3m, No. 227
Raw total energy   -33.0 eV per cell
Size of the total moment   0.0 μB per formula unit

```
DyB2
1.0
0.0000 3.2710 3.2710
3.2710 0.0000 3.2710
3.2710 3.2710 0.0000
Dy B
2 4
Cartesian
0.8178 0.8178 0.8178
5.7243 5.7243 5.7243
3.2710 1.6355 1.6355
1.6355 3.2710 1.6355
1.6355 1.6355 3.2710
3.2710 3.2710 3.2710
```

***

Entry 8:
A plane-wave DFT calculation with PBE-GGA was carried out for crystalline Er2Zr2Nb at its relaxed geometry.

V   318 Å³ per cell
Crystal system   hexagonal
Space group   P6_3/mmc, No. 194
Raw total energy   -66.6 eV per cell
Size of the total moment   0.6 μB per formula unit

```
Er2Zr2Nb
1.0
4.7293 0.0000 0.0000
-2.3646 4.0957 0.0000
0.0000 0.0000 16.4370
Er Zr Nb
4 4 2
Cartesian
0.0000 2.7304 2.3447
0.0000 2.7304 5.8738
2.3646 1.3652 10.5632
2.3646 1.3652 14.0923
0.0000 2.7304 8.9894
0.0000 2.7304 15.6661
2.3646 1.3652 0.7709
2.3646 1.3652 7.4476
0.0000 0.0000 0.0000
0.0000 0.0000 8.2185
```

***

Entry 9:
A plane-wave DFT calculation with PBE-GGA was carried out for crystalline GdZrSc2Sb2 at its relaxed geometry.

V   146 Å³ per cell
Crystal system   tetragonal
Space group   I4mm, No. 107
Raw total energy   -38.5 eV per cell
Size of the total moment   0.6 μB per formula unit

```
GdZrSc2Sb2
1.0
-2.1171 2.1171 8.1228
2.1171 -2.1171 8.1228
2.1171 2.1171 -8.1228
Gd Zr Sc Sb
1 1 2 2
Cartesian
0.0000 0.0000 0.0000
0.0000 0.0000 5.7515
2.1171 0.0000 2.9717
0.0000 2.1171 2.9717
0.0000 0.0000 8.8941
0.0000 0.0000 13.2045
```

***

Entry 10:
A plane-wave DFT calculation with PBE-GGA was carried out for crystalline KGdMo at its relaxed geometry.

V   105 Å³ per cell
Crystal system   cubic
Space group   F-43m, No. 216
Raw total energy   -11.6 eV per cell
Size of the total moment   3.2 μB per formula unit

```
KGdMo
1.0
0.0000 3.7404 3.7404
3.7404 0.0000 3.7404
3.7404 3.7404 0.0000
K Gd Mo
1 1 1
Cartesian
0.0000 0.0000 0.0000
3.7404 3.7404 3.7404
5.6107 5.6107 5.6107
```

***

Entry 11:
A plane-wave DFT calculation with PBE-GGA was carried out for crystalline Li2MgCdSn2Pd2 at its relaxed geometry.

V   140 Å³ per cell
Crystal system   tetragonal
Space group   P-4m2, No. 115
Raw total energy   -28.8 eV per cell

```
Li2MgCdSn2Pd2
1.0
4.6262 0.0000 0.0000
0.0000 4.6262 0.0000
0.0000 0.0000 6.5458
Li Mg Cd Sn Pd
2 1 1 2 2
Cartesian
0.0000 2.3131 1.6191
2.3131 0.0000 4.9267
0.0000 0.0000 3.2729
2.3131 2.3131 0.0000
0.0000 0.0000 0.0000
2.3131 2.3131 3.2729
0.0000 2.3131 4.8363
2.3131 0.0000 1.7095
```

***

Entry 12:
A plane-wave DFT calculation with PBE-GGA was carried out for crystalline HfPaBe at its relaxed geometry.

V   62 Å³ per cell
Crystal system   cubic
Space group   F-43m, No. 216
Raw total energy   -22.0 eV per cell
Size of the total moment   0.0 μB per formula unit

```
HfPaBe
1.0
0.0000 3.1357 3.1357
3.1357 0.0000 3.1357
3.1357 3.1357 0.0000
Hf Pa Be
1 1 1
Cartesian
0.0000 0.0000 0.0000
3.1357 3.1357 3.1357
1.5678 1.5678 1.5678
```

***

Entry 13:
A plane-wave DFT calculation with PBE-GGA was carried out for crystalline Y5Ho2Ga at its relaxed geometry.

V   238 Å³ per cell
Crystal system   orthorhombic
Space group   Amm2, No. 38
Raw total energy   -44.9 eV per cell
Size of the total moment   0.5 μB per formula unit

```
Y5Ho2Ga
1.0
5.5059 0.0000 0.0000
0.0000 3.5359 6.0999
0.0000 -3.5359 6.0999
Y Ho Ga
5 2 1
Cartesian
0.0000 0.0000 0.0000
0.0000 -1.7138 3.0914
0.0000 1.7138 3.0914
2.7529 -1.8005 7.0784
2.7529 1.8005 7.0784
0.0000 0.0000 6.0226
2.7529 0.0000 10.2086
2.7529 0.0000 4.0339
```

***

Entry 14:
A plane-wave DFT calculation with PBE-GGA was carried out for crystalline NaHoSn at its relaxed geometry.

V   83 Å³ per cell
Crystal system   cubic
Space group   F-43m, No. 216
Raw total energy   -9.8 eV per cell
Size of the total moment   0.0 μB per formula unit

```
NaHoSn
1.0
0.0000 3.4623 3.4623
3.4623 0.0000 3.4623
3.4623 3.4623 0.0000
Na Ho Sn
1 1 1
Cartesian
0.0000 0.0000 0.0000
5.1935 5.1935 5.1935
1.7312 1.7312 1.7312
```

***

Entry 15:
A plane-wave DFT calculation with PBE-GGA was carried out for crystalline PuH4N2F2 at its relaxed geometry.

V   89 Å³ per cell
Crystal system   monoclinic
Space group   C2/m, No. 12
Raw total energy   -59.7 eV per cell
Size of the total moment   4.0 μB per formula unit

```
PuH4N2F2
1.0
5.4416 -1.8076 0.0000
5.4416 1.8076 0.0000
-1.6561 0.0000 4.5043
Pu H N F
1 4 2 2
Cartesian
0.0000 0.0000 0.0000
1.8653 0.0000 3.3553
3.2071 0.0000 2.3683
6.0199 0.0000 2.1360
7.3617 0.0000 1.1490
2.9003 0.0000 3.3508
6.3267 0.0000 1.1535
0.1172 0.0000 3.3143
9.1098 0.0000 1.1899
```

***

Entry 16:
A plane-wave DFT calculation with PBE-GGA was carried out for crystalline HfZnFePt at its relaxed geometry.

V   60 Å³ per cell
Crystal system   cubic
Space group   F-43m, No. 216
Raw total energy   -27.5 eV per cell
Size of the total moment   0.0 μB per formula unit

```
HfZnFePt
1.0
0.0000 3.1073 3.1073
3.1073 0.0000 3.1073
3.1073 3.1073 0.0000
Hf Zn Fe Pt
1 1 1 1
Cartesian
0.0000 0.0000 0.0000
3.1073 3.1073 3.1073
4.6609 4.6609 4.6609
1.5536 1.5536 1.5536
```

***

Entry 17:
A plane-wave DFT calculation with PBE-GGA was carried out for crystalline Nd2Zn6Ge3 at its relaxed geometry.

V   209 Å³ per cell
Crystal system   hexagonal
Space group   P-6, No. 174
Raw total energy   -35.6 eV per cell
Size of the total moment   0.0 μB per formula unit

```
Nd2Zn6Ge3
1.0
7.6590 0.0000 0.0000
-3.8295 6.6329 0.0000
0.0000 0.0000 4.1066
Nd Zn Ge
2 6 3
Cartesian
0.0000 0.0000 0.0000
0.0000 4.4219 0.0000
1.6116 2.2091 2.0533
3.0922 0.9658 0.0000
4.9401 0.2911 2.0533
3.1198 3.4721 0.0000
5.2765 2.1951 0.0000
4.9369 4.1327 2.0533
-0.9104 2.2029 2.0533
-1.4666 6.3199 2.0533
2.3769 4.7431 2.0533
```

***

Entry 18:
A plane-wave DFT calculation with PBE-GGA was carried out for crystalline ZrTe2 at its relaxed geometry.

V   163 Å³ per cell
Crystal system   cubic
Space group   Fd-3m, No. 227
Raw total energy   -25.9 eV per cell
Size of the total moment   0.0 μB per formula unit

```
ZrTe2
1.0
0.0000 4.3345 4.3345
4.3345 0.0000 4.3345
4.3345 4.3345 0.0000
Zr Te
2 4
Cartesian
1.0836 1.0836 1.0836
7.5854 7.5854 7.5854
4.3345 2.1673 2.1673
2.1673 4.3345 2.1673
2.1673 2.1673 4.3345
4.3345 4.3345 4.3345
```

***

Entry 19:
A plane-wave DFT calculation with PBE-GGA was carried out for crystalline Ho7Tm at its relaxed geometry.

V   247 Å³ per cell
Crystal system   orthorhombic
Space group   Amm2, No. 38
Raw total energy   -36.5 eV per cell
Size of the total moment   0.2 μB per formula unit

```
Ho7Tm
1.0
5.5702 0.0000 0.0000
0.0000 3.5793 6.1993
0.0000 -3.5793 6.1993
Ho Tm
7 1
Cartesian
0.0000 0.0000 0.0000
0.0000 0.0000 6.2033
0.0000 -1.7862 9.2976
0.0000 1.7862 9.2976
2.7851 0.0000 4.1342
2.7851 -1.7856 7.2342
2.7851 1.7856 7.2342
2.7851 0.0000 10.3287
```

***

Entry 20:
A plane-wave DFT calculation with PBE-GGA was carried out for crystalline PaAlSi at its relaxed geometry.

V   64 Å³ per cell
Crystal system   cubic
Space group   F-43m, No. 216
Raw total energy   -17.9 eV per cell
Size of the total moment   0.1 μB per formula unit

```
PaAlSi
1.0
0.0000 3.1701 3.1701
3.1701 0.0000 3.1701
3.1701 3.1701 0.0000
Pa Al Si
1 1 1
Cartesian
0.0000 0.0000 0.0000
1.5851 1.5851 1.5851
3.1701 3.1701 3.1701
```